{"formula": "KHg2Cl5", "functional": "PBE", "state": "optimized geometry", "lattice": [[2.261, -7.827, 0.000], [2.261, 7.827, 0.000], [0.000, 0.000, 15.054]], "species": ["K", "K", "Hg", "Hg", "Hg", "Hg", "Cl", "Cl", "Cl", "Cl", "Cl", "Cl", "Cl", "Cl", "Cl", "Cl"], "fractional_positions": [[0.205, 0.795, 0.750], [0.795, 0.205, 0.250], [0.099, 0.901, 0.080], [0.099, 0.901, 0.420], [0.901, 0.099, 0.580], [0.901, 0.099, 0.920], [0.060, 0.940, 0.604], [0.060, 0.940, 0.896], [0.161, 0.839, 0.250], [0.320, 0.680, 0.558], [0.320, 0.680, 0.942], [0.680, 0.320, 0.058], [0.680, 0.320, 0.442], [0.839, 0.161, 0.750], [0.940, 0.060, 0.104], [0.940, 0.060, 0.396]], "raw_formation_energy_kj_per_mol_atoms": -86.96, "density_g_cm3": 3.8, "dft_energy_ev_per_atom": -2.27}

---

{"formula": "TbDyYMg", "functional": "PBE", "state": "optimized geometry", "lattice": [[0.000, 3.897, 3.897], [3.897, 0.000, 3.897], [3.897, 3.897, 0.000]], "species": ["Tb", "Dy", "Y", "Mg"], "fractional_positions": [[0.000, 0.000, 0.000], [0.250, 0.250, 0.250], [0.500, 0.500, 0.500], [0.750, 0.750, 0.750]], "formation_energy_ev_per_fu": 0.202, "de_polymorph_mev_per_atom": 0, "density_g_cm3": 6.1, "dft_energy_ev_per_atom": -4.27}

---

{"formula": "LaTb3Dy6Er2", "functional": "PBE", "state": "optimized geometry", "lattice": [[3.082, -5.335, 0.000], [3.082, 5.335, 0.000], [-2.048, 0.000, 11.631]], "species": ["La", "Tb", "Tb", "Tb", "Dy", "Dy", "Dy", "Dy", "Dy", "Dy", "Er", "Er"], "fractional_positions": [[0.000, 0.000, 0.000], [0.167, 0.833, 0.500], [0.500, 0.500, 0.500], [0.833, 0.167, 0.500], [0.084, 0.419, 0.251], [0.251, 0.251, 0.748], [0.419, 0.084, 0.251], [0.581, 0.916, 0.749], [0.749, 0.749, 0.252], [0.916, 0.581, 0.749], [0.333, 0.667, 0.000], [0.667, 0.333, 0.000]], "formation_energy_ev_per_fu": 0.236, "density_g_cm3": 8.4, "dft_energy_ev_per_atom": -4.61}

---

{"formula": "MgAgPb3", "functional": "PBE", "state": "optimized geometry", "lattice": [[5.538, 0.000, 0.000], [0.000, 5.538, 0.000], [0.000, 0.000, 5.538]], "species": ["Mg", "Ag", "Pb", "Pb", "Pb"], "fractional_positions": [[0.000, 0.000, 0.000], [0.500, 0.500, 0.500], [0.000, 0.500, 0.500], [0.500, 0.000, 0.500], [0.500, 0.500, 0.000]], "formation_energy_ev_per_fu": 1.861, "de_polymorph_mev_per_atom": 0, "density_g_cm3": 7.4, "dft_energy_ev_per_atom": -2.74}

---

{"formula": "Dy4InBiH", "functional": "PBE", "state": "optimized geometry", "lattice": [[3.225, -8.479, 0.000], [3.225, 8.479, 0.000], [0.000, 0.000, 6.470]], "species": ["Dy", "Dy", "Dy", "Dy", "Dy", "Dy", "Dy", "Dy", "In", "In", "Bi", "Bi", "H", "H"], "fractional_positions": [[0.000, 0.500, 0.000], [0.000, 0.500, 0.500], [0.070, 0.930, 0.750], [0.424, 0.576, 0.750], [0.500, 0.000, 0.000], [0.500, 0.000, 0.500], [0.576, 0.424, 0.250], [0.930, 0.070, 0.250], [0.114, 0.886, 0.250], [0.886, 0.114, 0.750], [0.390, 0.610, 0.250], [0.610, 0.390, 0.750], [0.289, 0.711, 0.750], [0.711, 0.289, 0.250]], "density_g_cm3": 9.1, "dft_energy_ev_per_atom": -4.57}

---

{"formula": "Ac2BiTe", "functional": "PBE", "state": "optimized geometry", "lattice": [[2.347, 1.355, 8.376], [-2.347, 1.355, 8.376], [0.000, -2.710, 8.376]], "species": ["Ac", "Ac", "Bi", "Te"], "fractional_positions": [[0.000, 0.000, 0.000], [0.174, 0.174, 0.174], [0.588, 0.588, 0.588], [0.419, 0.419, 0.419]], "raw_formation_energy_kj_per_mol_atoms": -115.07, "de_polymorph_mev_per_atom": 80, "density_g_cm3": 8.2, "dft_energy_ev_per_atom": -5.00}

---

{"formula": "ScCoRu2", "functional": "PBE", "state": "optimized geometry", "lattice": [[3.043, 0.000, 0.000], [0.000, 4.277, 0.000], [0.000, 0.000, 4.502]], "species": ["Sc", "Co", "Ru", "Ru"], "fractional_positions": [[0.000, 0.000, 0.000], [0.500, 0.000, 0.500], [0.000, 0.500, 0.500], [0.500, 0.500, 0.000]], "formation_energy_ev_per_fu": -0.237, "de_polymorph_mev_per_atom": 8, "density_g_cm3": 8.7, "dft_energy_ev_per_atom": -8.06}

---

{"formula": "Hf2SbAs", "functional": "PBE", "state": "optimized geometry", "lattice": [[1.970, 1.137, 6.578], [-1.970, 1.137, 6.578], [0.000, -2.274, 6.578]], "species": ["Hf", "Hf", "Sb", "As"], "fractional_positions": [[0.237, 0.237, 0.237], [0.763, 0.763, 0.763], [0.000, 0.000, 0.000], [0.500, 0.500, 0.500]], "raw_formation_energy_kj_per_mol_atoms": -65.15, "density_g_cm3": 10.4, "dft_energy_ev_per_atom": -7.84}

---

Please write out number 1 again, unchanged.
{"formula": "KHg2Cl5", "functional": "PBE", "state": "optimized geometry", "lattice": [[2.261, -7.827, 0.000], [2.261, 7.827, 0.000], [0.000, 0.000, 15.054]], "species": ["K", "K", "Hg", "Hg", "Hg", "Hg", "Cl", "Cl", "Cl", "Cl", "Cl", "Cl", "Cl", "Cl", "Cl", "Cl"], "fractional_positions": [[0.205, 0.795, 0.750], [0.795, 0.205, 0.250], [0.099, 0.901, 0.080], [0.099, 0.901, 0.420], [0.901, 0.099, 0.580], [0.901, 0.099, 0.920], [0.060, 0.940, 0.604], [0.060, 0.940, 0.896], [0.161, 0.839, 0.250], [0.320, 0.680, 0.558], [0.320, 0.680, 0.942], [0.680, 0.320, 0.058], [0.680, 0.320, 0.442], [0.839, 0.161, 0.750], [0.940, 0.060, 0.104], [0.940, 0.060, 0.396]], "raw_formation_energy_kj_per_mol_atoms": -86.96, "density_g_cm3": 3.8, "dft_energy_ev_per_atom": -2.27}